No. 1
BaNaLiAg: relaxed, PBE.

Energy above the most stable polymorph in this dataset in eV per formula unit: 0.000
Total magnetization in μB/cell: 0.00

Lattice parameters (Å, degrees): 4.9530 4.9530 18.4231 90.00 90.00 120.00
Space group R3m (No. 160, hexagonal axes)
Unique sites:
Ba 0.0000 0.0000 0.0000 x3
Na 0.0000 0.0000 0.8014 x3
Li 0.0000 0.0000 0.5306 x3
Ag 0.0000 0.0000 0.2105 x3

***

No. 2
BaNaLi2Ag2: relaxed, PBE.

DFT total energy in Ry/atom: -0.166
Total magnetization in μB/cell: 0.00

Lattice parameters (Å, degrees): 4.8299 4.8299 7.9062 90.00 90.00 120.00
Space group P-3m1 (No. 164)
Unique sites:
Ba 0.0000 0.0000 0.0000 x1
Na 0.0000 0.0000 0.5000 x1
Li 0.3333 0.6667 0.3505 x2
Ag 0.3333 0.6667 0.7107 x2

***

No. 3
BaNa2Li2Ag: relaxed, PBE.

DFT total energy in Ry/atom: -0.132
Total magnetization in μB/cell: 0.00

Lattice parameters (Å, degrees): 4.758 4.758 19.607 90.00 90.00 90.00
Space group I4/mmm (No. 139)
Unique sites:
Ba 0.000 0.000 0.000 x2
Na 0.000 0.500 0.250 x4
Li 0.000 0.000 0.369 x4
Ag 0.000 0.000 0.500 x2

***

No. 4
BaNaLiAg: relaxed, PBE.

Energy above the most stable polymorph in this dataset in eV per formula unit: 0.306
Total magnetization in μB/cell: 0.00

Lattice parameters (Å, degrees): 8.050 8.050 8.050 90.00 90.00 90.00
Space group F-43m (No. 216)
Unique sites:
Ba 0.000 0.000 0.000 x4
Na 0.000 0.000 0.500 x4
Li 0.250 0.250 0.250 x4
Ag 0.250 0.250 0.750 x4

***

No. 5
BaLiNdAg: relaxed, PBE.

DFT total energy in Ry/atom: -0.208
Total magnetization in μB/cell: 0.00

Lattice parameters (Å, degrees): 7.947 7.947 7.947 90.00 90.00 90.00
Space group F-43m (No. 216)
Unique sites:
Ba 0.000 0.000 0.000 x4
Li 0.250 0.250 0.250 x4
Nd 0.000 0.000 0.500 x4
Ag 0.250 0.250 0.750 x4

***

No. 6
Ba2LiAg3O6: relaxed, PBE.

Energy relative to the elements, uncorrected in eV/atom: -1.039
Total magnetization in μB/cell: 0.72

Lattice parameters (Å, degrees): 4.042 4.042 12.606 90.00 90.00 90.00
Space group P4/mmm (No. 123)
Unique sites:
Ba 0.000 0.000 0.214 x2
Li 0.000 0.000 0.500 x1
Ag 0.500 0.500 0.000 x1
Ag 0.500 0.500 0.389 x2
O 0.000 0.500 0.366 x4
O 0.500 0.500 0.159 x2

***

No. 7
Ba2LiAgO4: relaxed, PBE.

Energy relative to the elements, uncorrected in eV/atom: -1.541
Total magnetization in μB/cell: 0.00

Lattice parameters (Å, degrees): 6.287 6.287 6.767 90.00 90.00 90.00
Space group I-4 (No. 82)
Unique sites:
Ba 0.000 0.000 0.000 x2
Ba 0.000 0.500 0.250 x2
Li 0.000 0.000 0.500 x2
Ag 0.000 0.500 0.750 x2
O 0.163 0.776 0.681 x8

***

No. 8
BaLiAgO2: relaxed, PBE.

Energy relative to the elements, uncorrected in eV/atom: -1.474
Total magnetization in μB/cell: 0.00

Lattice parameters (Å, degrees): 5.403 11.693 5.095 90.00 90.00 90.00
Space group Cmme (No. 67)
Unique sites:
Ba 0.000 0.250 0.222 x4
Li 0.250 0.000 0.000 x4
Ag 0.000 0.000 0.500 x4
O 0.000 0.114 0.822 x8

***

No. 9
Ba2LiAgP: relaxed, PBE.

Energy above the most stable polymorph in this dataset in eV per formula unit: 1.985
Total magnetization in μB/cell: 0.00

Lattice parameters (Å, degrees): 6.417 6.417 4.658 90.00 90.00 90.00
Space group P4/mmm (No. 123)
Unique sites:
Ba 0.000 0.500 0.000 x2
Li 0.000 0.000 0.500 x1
Ag 0.500 0.500 0.000 x1
P 0.500 0.500 0.500 x1

***

No. 10
Ba2LiAgP: relaxed, PBE.

Energy above the most stable polymorph in this dataset in eV per formula unit: 0.000
Total magnetization in μB/cell: 0.00

Lattice parameters (Å, degrees): 6.279 6.279 4.658 90.00 90.00 90.00
Space group P4/mmm (No. 123)
Unique sites:
Ba 0.000 0.500 0.000 x2
Li 0.000 0.000 0.500 x1
Ag 0.500 0.500 0.500 x1
P 0.000 0.000 0.000 x1

***

No. 11
BaLiAgPb: relaxed, PBE.

Energy above the most stable polymorph in this dataset in eV per formula unit: 0.000
Total magnetization in μB/cell: 0.00

Lattice parameters (Å, degrees): 8.564 4.945 6.284 90.00 116.89 90.00
Space group Cm (No. 8)
Unique sites:
Ba 0.000 0.000 0.000 x2
Li 0.308 0.500 0.425 x2
Ag 0.201 0.000 0.604 x2
Pb 0.493 0.000 0.480 x2

***

No. 12
Ba2Li3AgPb4: relaxed, PBE.

DFT total energy in Ry/atom: -0.227
Total magnetization in μB/cell: 0.00

Lattice parameters (Å, degrees): 4.987 4.987 11.492 90.00 90.00 90.00
Space group P-4m2 (No. 115)
Unique sites:
Ba 0.000 0.500 0.244 x2
Li 0.000 0.000 0.000 x1
Li 0.000 0.500 0.629 x2
Ag 0.500 0.500 0.000 x1
Pb 0.000 0.000 0.500 x1
Pb 0.000 0.500 0.874 x2
Pb 0.500 0.500 0.500 x1

***

No. 13
BaLi4AgPb2: relaxed, PBE.

DFT total energy in Ry/atom: -0.203
Total magnetization in μB/cell: 0.00

Lattice parameters (Å, degrees): 4.7938 4.7938 29.2773 90.00 90.00 120.00
Space group R-3m (No. 166, hexagonal axes)
Unique sites:
Ba 0.0000 0.0000 0.0000 x3
Li 0.0000 0.0000 0.1376 x6
Li 0.0000 0.0000 0.4133 x6
Ag 0.0000 0.0000 0.5000 x3
Pb 0.0000 0.0000 0.2413 x6

***

No. 14
BaLiAgPb2: relaxed, PBE.

Energy above the most stable polymorph in this dataset in eV per formula unit: 0.791
Total magnetization in μB/cell: 0.00

Lattice parameters (Å, degrees): 5.304 5.304 5.140 90.00 90.00 90.00
Space group P4/mmm (No. 123)
Unique sites:
Ba 0.000 0.000 0.000 x1
Li 0.500 0.500 0.500 x1
Ag 0.500 0.500 0.000 x1
Pb 0.000 0.500 0.500 x2

***

No. 15
BaLiAgPb3: relaxed, PBE.

DFT total energy in Ry/atom: -0.230
Total magnetization in μB/cell: 0.00

Lattice parameters (Å, degrees): 7.650 14.099 6.910 90.00 90.00 90.00
Space group Cmcm (No. 63)
Unique sites:
Ba 0.000 0.216 0.250 x4
Li 0.000 0.451 0.250 x4
Ag 0.000 0.142 0.750 x4
Pb 0.000 0.349 0.750 x4
Pb 0.212 0.000 0.000 x8

***

No. 16
BaLiAgPb2: relaxed, PBE.

Energy above the most stable polymorph in this dataset in eV per formula unit: 0.000
Total magnetization in μB/cell: 0.00

Lattice parameters (Å, degrees): 4.939 4.939 12.078 90.00 90.00 90.00
Space group I-4m2 (No. 119)
Unique sites:
Ba 0.000 0.000 0.000 x2
Li 0.000 0.500 0.250 x2
Ag 0.000 0.500 0.750 x2
Pb 0.000 0.000 0.375 x4

***

No. 17
BaLiAgPb: relaxed, PBE.

Energy above the most stable polymorph in this dataset in eV per formula unit: 0.207
Total magnetization in μB/cell: 0.00

Lattice parameters (Å, degrees): 7.575 7.575 7.575 90.00 90.00 90.00
Space group F-43m (No. 216)
Unique sites:
Ba 0.000 0.000 0.000 x4
Li 0.250 0.250 0.750 x4
Ag 0.250 0.250 0.250 x4
Pb 0.000 0.000 0.500 x4

***

No. 18
Ba2Li3Ag12Pb: relaxed, PBE.

DFT total energy in Ry/atom: -0.195
Total magnetization in μB/cell: 0.00

Lattice parameters (Å, degrees): 6.9341 6.9341 30.7595 90.00 90.00 120.00
Space group R-3m (No. 166, hexagonal axes)
Unique sites:
Ba 0.0000 0.0000 0.1438 x6
Li 0.0000 0.5000 0.0000 x9
Ag 0.0382 0.5191 0.0915 x18
Ag 0.0661 0.5330 0.6250 x18
Pb 0.0000 0.0000 0.5000 x3

***

No. 19
Ba2LiAg3Pb4: relaxed, PBE.

DFT total energy in Ry/atom: -0.236
Total magnetization in μB/cell: 0.00

Lattice parameters (Å, degrees): 4.949 4.949 12.012 90.00 90.00 90.00
Space group P-4m2 (No. 115)
Unique sites:
Ba 0.000 0.500 0.242 x2
Li 0.500 0.500 0.000 x1
Ag 0.000 0.000 0.000 x1
Ag 0.000 0.500 0.640 x2
Pb 0.000 0.000 0.500 x1
Pb 0.000 0.500 0.877 x2
Pb 0.500 0.500 0.500 x1

***

No. 20
Ba2LiAgPd: relaxed, PBE.

Energy above the most stable polymorph in this dataset in eV per formula unit: 0.000
Total magnetization in μB/cell: 0.00

Lattice parameters (Å, degrees): 6.123 6.123 4.832 90.00 90.00 90.00
Space group P4/mmm (No. 123)
Unique sites:
Ba 0.000 0.500 0.000 x2
Li 0.000 0.000 0.500 x1
Ag 0.500 0.500 0.500 x1
Pd 0.000 0.000 0.000 x1

***

No. 21
BaLiAg2Pd: relaxed, PBE.

Energy above the most stable polymorph in this dataset in eV per formula unit: 0.276
Total magnetization in μB/cell: 0.00

Lattice parameters (Å, degrees): 4.896 4.896 4.930 90.00 90.00 90.00
Space group P4/mmm (No. 123)
Unique sites:
Ba 0.000 0.000 0.000 x1
Li 0.500 0.500 0.500 x1
Ag 0.000 0.500 0.500 x2
Pd 0.500 0.500 0.000 x1

***

No. 22
BaLi2AgPd: relaxed, PBE.

Energy above the most stable polymorph in this dataset in eV per formula unit: 0.254
Total magnetization in μB/cell: 0.00

Lattice parameters (Å, degrees): 4.817 4.817 5.438 90.00 90.00 90.00
Space group P4/mmm (No. 123)
Unique sites:
Ba 0.000 0.000 0.000 x1
Li 0.000 0.500 0.500 x2
Ag 0.500 0.500 0.500 x1
Pd 0.500 0.500 0.000 x1

***

No. 23
Ba2LiAgPd6: relaxed, PBE.

DFT total energy in Ry/atom: -0.300
Total magnetization in μB/cell: 0.00

Lattice parameters (Å, degrees): 6.791 6.817 9.623 90.00 90.00 90.00
Space group Immm (No. 71)
Unique sites:
Ba 0.000 0.000 0.250 x4
Li 0.000 0.500 0.000 x2
Ag 0.000 0.500 0.500 x2
Pd 0.000 0.500 0.229 x4
Pd 0.229 0.271 0.000 x8

***

No. 24
Ba2Li6AgPd: relaxed, PBE.

DFT total energy in Ry/atom: -0.177
Total magnetization in μB/cell: 0.00

Lattice parameters (Å, degrees): 10.269 10.311 7.267 90.00 134.80 90.00
Space group C2/m (No. 12)
Unique sites:
Ba 0.000 0.250 0.000 x4
Li 0.000 0.243 0.500 x4
Li 0.243 0.000 0.501 x4
Li 0.243 0.000 0.986 x4
Ag 0.000 0.500 0.500 x2
Pd 0.000 0.000 0.500 x2

***

No. 25
BaLi2AgPd: relaxed, PBE.

Energy above the most stable polymorph in this dataset in eV per formula unit: 0.000
Total magnetization in μB/cell: 0.00

Lattice parameters (Å, degrees): 4.842 4.842 5.443 90.00 90.00 90.00
Space group P4/mmm (No. 123)
Unique sites:
Ba 0.000 0.000 0.000 x1
Li 0.000 0.500 0.500 x2
Ag 0.500 0.500 0.000 x1
Pd 0.500 0.500 0.500 x1

***

No. 26
Ba2LiAgPd: relaxed, PBE.

Energy above the most stable polymorph in this dataset in eV per formula unit: 0.451
Total magnetization in μB/cell: 0.00

Lattice parameters (Å, degrees): 6.126 6.126 5.248 90.00 90.00 90.00
Space group P4/mmm (No. 123)
Unique sites:
Ba 0.000 0.500 0.000 x2
Li 0.000 0.000 0.500 x1
Ag 0.500 0.500 0.500 x1
Pd 0.500 0.500 0.000 x1